# GGA-PBEsol MgBeCr2, relaxed
data_MgBeCr2
_symmetry_space_group_name_H-M 'P 1'
_symmetry_Int_Tables_number 1
_cell_length_a 2.441
_cell_length_b 4.281
_cell_length_c 4.909
_cell_angle_alpha 93.24
_cell_angle_beta 90.00
_cell_angle_gamma 106.56
loop_
_symmetry_equiv_pos_as_xyz
'x,y,z'
loop_
_atom_site_label
_atom_site_type_symbol
_atom_site_fract_x
_atom_site_fract_y
_atom_site_fract_z
Be1 Be 0.743 0.487 0.227
Cr1 Cr 0.011 0.023 0.991
Cr2 Cr 0.251 0.501 0.795
Mg1 Mg 0.495 0.990 0.486
# - Space group: No. 8
# - DOS at the Fermi energy: 0.48 states/eV per atom
# - Total energy: -24.367 eV for the cell shown
# - Distance to the lowest polymorph of the same formula: 197.5 meV per atom
# - ΔH_f (0 K): 0.458 eV/atom



# GGA-PBEsol MgBeCr2, relaxed
data_MgBeCr2
_symmetry_space_group_name_H-M 'P 1'
_symmetry_Int_Tables_number 1
_cell_length_a 2.958
_cell_length_b 4.283
_cell_length_c 4.720
_cell_angle_alpha 116.98
_cell_angle_beta 108.26
_cell_angle_gamma 90.00
loop_
_symmetry_equiv_pos_as_xyz
'x,y,z'
loop_
_atom_site_label
_atom_site_type_symbol
_atom_site_fract_x
_atom_site_fract_y
_atom_site_fract_z
Cr1 Cr 0.021 0.021 0.041
Cr2 Cr 0.721 0.221 0.441
Mg1 Mg 0.499 0.499 0.998
Be1 Be 0.260 0.760 0.520
# - Space group: No. 44
# - DOS at the Fermi energy: 0.53 states/eV per atom
# - Total energy: -24.386 eV for the cell shown
# - Distance to the lowest polymorph of the same formula: 192.8 meV per atom
# - ΔH_f (0 K): 0.454 eV/atom



# GGA-PBEsol Mn2BeCr, relaxed
data_Mn2BeCr
_symmetry_space_group_name_H-M 'P 1'
_symmetry_Int_Tables_number 1
_cell_length_a 2.369
_cell_length_b 4.467
_cell_length_c 4.495
_cell_angle_alpha 117.60
_cell_angle_beta 101.54
_cell_angle_gamma 97.34
loop_
_symmetry_equiv_pos_as_xyz
'x,y,z'
loop_
_atom_site_label
_atom_site_type_symbol
_atom_site_fract_x
_atom_site_fract_y
_atom_site_fract_z
Be1 Be 0.500 0.000 0.000
Cr1 Cr 0.000 0.500 0.000
Mn1 Mn 0.500 0.500 0.500
Mn2 Mn 0.000 0.000 0.500
# - Space group: No. 12
# - DOS at the Fermi energy: 1.09 states/eV per atom
# - Total energy: -33.566 eV for the cell shown
# - ΔH_f (0 K): 0.049 eV/atom



# GGA-PBEsol Mn2BeCr, relaxed
data_Mn2BeCr
_symmetry_space_group_name_H-M 'P 1'
_symmetry_Int_Tables_number 1
_cell_length_a 2.399
_cell_length_b 3.609
_cell_length_c 4.592
_cell_angle_alpha 90.00
_cell_angle_beta 90.00
_cell_angle_gamma 90.00
loop_
_symmetry_equiv_pos_as_xyz
'x,y,z'
loop_
_atom_site_label
_atom_site_type_symbol
_atom_site_fract_x
_atom_site_fract_y
_atom_site_fract_z
Be1 Be 0.000 0.000 0.497
Mn1 Mn 0.500 0.500 0.260
Mn2 Mn 0.000 0.000 0.005
Cr1 Cr 0.500 0.500 0.739
# - Space group: No. 25
# - DOS at the Fermi energy: 0.94 states/eV per atom
# - Total energy: -33.538 eV for the cell shown
# - ΔH_f (0 K): 0.057 eV/atom